DFT (PBE) results for a relaxed Nd6Y5 crystal.

Cell lengths 10.369, 8.537, 6.149 Å; angles 73.29, 61.73, 52.61 degrees
Fractional coordinates of all 11 atoms:
Nd 0.820 0.000 0.578
Nd 0.180 0.000 0.422
Nd 0.322 0.725 0.896
Nd 0.953 0.725 0.104
Nd 0.678 0.275 0.104
Nd 0.047 0.275 0.896
Y 0.500 0.000 0.500
Y 0.368 0.263 0.000
Y 0.632 0.737 0.000
Y 0.232 0.535 0.500
Y 0.768 0.465 0.500

DFT (PBE) results for a relaxed NdY6 crystal.

Cell lengths 6.960, 6.960, 6.960 Å; angles 109.47, 109.47, 109.47 degrees
Fractional coordinates of all 7 atoms:
Nd 0.000 0.000 0.000
Y 0.250 0.750 0.500
Y 0.500 0.750 0.250
Y 0.250 0.500 0.750
Y 0.750 0.250 0.500
Y 0.500 0.250 0.750
Y 0.750 0.500 0.250

DFT (PBE) results for a relaxed Nd6Y7 crystal.

Cell lengths 6.745, 6.745, 12.351 Å; angles 74.15, 74.15, 60.00 degrees
Last column: magnetic moment on the atom in μB.
Fractional coordinates of all 13 atoms:
Nd 0.952 0.952 0.143  0.39
Nd 0.048 0.048 0.857  0.39
Nd 0.849 0.849 0.452  0.43
Nd 0.151 0.151 0.548  0.43
Nd 0.666 0.666 0.001  0.34
Nd 0.334 0.334 0.999  0.34
Y 0.412 0.916 0.261  0.26
Y 0.412 0.412 0.261  0.26
Y 0.916 0.412 0.261  0.26
Y 0.588 0.084 0.739  0.26
Y 0.084 0.588 0.739  0.26
Y 0.588 0.588 0.739  0.26
Y 0.500 0.500 0.500  0.36

DFT (PBE) results for a relaxed Nd8Y3 crystal.

Relative energy among the computed polymorphs: 0.0 meV/atom

Cell lengths 5.155, 6.327, 13.196 Å; angles 103.86, 90.00, 114.04 degrees
Fractional coordinates of all 11 atoms:
Nd 0.728 0.455 0.091
Nd 0.272 0.545 0.909
Nd 0.546 0.092 0.818
Nd 0.454 0.908 0.182
Nd 0.819 0.638 0.727
Nd 0.181 0.362 0.273
Nd 0.636 0.273 0.454
Nd 0.364 0.727 0.546
Y 0.000 0.000 0.000
Y 0.909 0.818 0.365
Y 0.091 0.182 0.635

DFT (PBE) results for a relaxed Nd5Y3 crystal.

Relative energy among the computed polymorphs: 0.0 meV/atom

Cell lengths 3.647, 3.647, 20.560 Å; angles 90.00, 90.00, 90.00 degrees
Fractional coordinates of all 8 atoms:
Nd 0.000 0.000 0.249
Nd 0.500 0.500 0.625
Nd 0.500 0.500 0.375
Nd 0.000 0.000 0.751
Nd 0.000 0.000 0.000
Y 0.500 0.500 0.124
Y 0.500 0.500 0.876
Y 0.000 0.000 0.500

DFT (PBE) results for a relaxed Nd3Y4 crystal.

Relative energy among the computed polymorphs: 5.9 meV/atom

Cell lengths 3.527, 8.853, 9.269 Å; angles 122.71, 100.97, 90.00 degrees
Fractional coordinates of all 7 atoms:
Nd 0.000 0.000 0.000
Nd 0.222 0.295 0.443
Nd 0.778 0.705 0.557
Y 0.078 0.456 0.155
Y 0.922 0.544 0.845
Y 0.364 0.138 0.728
Y 0.636 0.862 0.272

DFT (PBE) results for a relaxed Nd13Y2 crystal.

Relative energy among the computed polymorphs: 0.0 meV/atom

Cell lengths 7.236, 7.236, 12.554 Å; angles 73.25, 73.25, 60.00 degrees
Fractional coordinates of all 15 atoms:
Nd 0.500 0.500 0.500
Nd 0.707 0.211 0.871
Nd 0.211 0.211 0.871
Nd 0.211 0.707 0.871
Nd 0.789 0.293 0.129
Nd 0.293 0.789 0.129
Nd 0.789 0.789 0.129
Nd 0.542 0.046 0.365
Nd 0.046 0.046 0.365
Nd 0.046 0.542 0.365
Nd 0.954 0.458 0.635
Nd 0.458 0.954 0.635
Nd 0.954 0.954 0.635
Y 0.294 0.294 0.118
Y 0.706 0.706 0.882

DFT (PBE) results for a relaxed Nd2Y crystal.

Relative energy among the computed polymorphs: 0.2 meV/atom

Cell lengths 9.162, 9.162, 9.162 Å; angles 23.00, 23.00, 23.00 degrees
Fractional coordinates of all 3 atoms:
Y 0.000 0.000 0.000
Nd 0.776 0.776 0.776
Nd 0.224 0.224 0.224

no.,calculated total energy (eV per atom),formation energy from the elements (meV/atom)
1,-5.42,121
2,-4.81,1411
3,-5.41,267
4,-5.22,13
5,-5.39,18
6,-5.62,117
7,-4.85,141
8,-5.31,19